{
  "formula": "Dy3Ga3Si",
  "functional": "PBE",
  "state": "relaxed",
  "cell": [[3.973, 0.000, -0.867], [-0.208, 4.110, -0.955], [-0.006, 0.038, 9.511]],
  "species": ["Dy", "Dy", "Dy", "Ga", "Ga", "Ga", "Si"],
  "fractional_positions": [[0.317, 0.817, 0.634], [0.685, 0.185, 0.370], [0.997, 0.997, 0.994], [0.147, 0.647, 0.294], [0.854, 0.354, 0.708], [0.566, 0.566, 0.133], [0.434, 0.434, 0.868]],
  "raw_formation_energy_kj_per_mol_atoms": -64.9,
  "sg": "Imm2, No. 44",
  "e_tot_ev_per_cell": -33.021,
  "volume_a3_per_atom": 22.2
}